# 1
A relaxed HfPa3 crystal. Source: the Alexandria database, functional PBE-GGA.

Structure (extended XYZ):
```
4
Lattice="4.0762 0.0000 0.0000 0.0000 4.0762 0.0000 -2.0381 -2.0381 5.9602" Properties=species:S:1:pos:R:3 pbc="T T T"
Pa 2.0381 2.0381 0.0000
Pa 0.0000 0.0000 3.1828
Pa 2.0381 2.0381 2.7774
Hf 0.0000 0.0000 0.0000
```

Summary:
ΔE_f   3.42 eV/f.u.
Excess energy over the best structure of this formula in the dataset   796 meV/atom
SG   I4/mmm (139)
DOS at the Fermi energy   8.0 states/eV/cell

# 2
A relaxed HfPa3 crystal. Source: the Alexandria database, functional PBE-GGA.

Structure (extended XYZ):
```
16
Lattice="-2.9309 -4.4252 -1.3790 4.1082 -1.6452 -3.4522 5.3408 -6.4803 9.4440" Properties=species:S:1:pos:R:3 pbc="T T T"
Pa 0.0409 -1.6561 -0.2247
Pa 4.1750 -5.0024 1.7271
Pa 6.4772 -10.8946 4.8375
Pa 3.8112 -7.6054 -0.0513
Pa 3.9869 -6.5047 6.9477
Pa 2.5311 -6.0460 -2.3349
Pa -0.1978 -4.4108 -1.7820
Pa 6.7159 -8.1399 6.3948
Pa 2.7069 -4.9453 4.6641
Pa 1.0977 -5.9764 0.4886
Pa 5.4204 -6.5743 4.1242
Pa 2.3431 -7.5483 2.8857
Hf 2.8184 -3.3503 -0.6912
Hf 3.6997 -9.2004 5.3040
Hf 5.1057 -9.2366 2.4318
Hf 1.4124 -3.3142 2.1810
```

Summary:
ΔE_f   0.27 eV/f.u.
Excess energy over the best structure of this formula in the dataset   7 meV/atom
SG   Pnma (62)
DOS at the Fermi energy   30.4 states/eV/cell

# 3
A relaxed Hf3PaPb crystal. Source: the Alexandria database, functional PBE-GGA.

Structure (extended XYZ):
```
10
Lattice="-3.2229 0.8330 0.3065 -2.0895 -7.8967 -0.5087 1.0132 0.7364 8.6527" Properties=species:S:1:pos:R:3 pbc="T T T"
Pa -2.2407 -0.1627 4.2256
Pa -2.0584 -6.1645 4.2249
Hf -0.7048 0.0811 1.4830
Hf -3.7079 -4.9655 1.8513
Hf -1.3759 -3.0581 2.9585
Hf -3.5943 -6.4084 6.9675
Hf -0.5912 -1.3617 6.5992
Hf -2.9232 -3.2691 5.4920
Pb -3.0186 -1.8676 0.6797
Pb -1.2805 -4.4596 7.7708
```

Summary:
ΔE_f   0.10 eV/f.u.
SG   P2_1/m (11)
DOS at the Fermi energy   7.7 states/eV/cell

# 4
A relaxed HfPa2Pb crystal. Source: the Alexandria database, functional PBE-GGA.

Structure (extended XYZ):
```
4
Lattice="4.9981 0.0000 0.0000 0.0000 4.4194 0.0000 0.0000 0.0000 4.4194" Properties=species:S:1:pos:R:3 pbc="T T T"
Hf 2.4991 0.0000 0.0000
Pa 0.0000 0.0000 2.2097
Pa 0.0000 2.2097 0.0000
Pb 2.4991 2.2097 2.2097
```

Summary:
ΔE_f   0.09 eV/f.u.
Excess energy over the best structure of this formula in the dataset   0 meV/atom
SG   P4/mmm (123)
DOS at the Fermi energy   6.7 states/eV/cell

# 5
A relaxed Hf2PaPb crystal. Source: the Alexandria database, functional PBE-GGA.

Structure (extended XYZ):
```
4
Lattice="4.0473 0.0000 0.0000 0.0000 4.7995 0.0000 0.0000 0.0000 4.7995" Properties=species:S:1:pos:R:3 pbc="T T T"
Pb 2.0236 2.3997 2.3997
Hf 0.0000 0.0000 2.3997
Hf 0.0000 2.3997 0.0000
Pa 2.0236 0.0000 0.0000
```

Summary:
ΔE_f   0.15 eV/f.u.
Excess energy over the best structure of this formula in the dataset   0 meV/atom
SG   P4/mmm (123)
DOS at the Fermi energy   5.5 states/eV/cell

# 6
A relaxed Hf2PaPb crystal. Source: the Alexandria database, functional PBE-GGA.

Structure (extended XYZ):
```
4
Lattice="3.7127 0.0000 0.0000 0.0000 3.7127 0.0000 0.0000 0.0000 6.8122" Properties=species:S:1:pos:R:3 pbc="T T T"
Pa 1.8563 1.8563 3.4061
Hf 0.0000 0.0000 5.0821
Hf 0.0000 0.0000 1.7301
Pb 1.8563 1.8563 0.0000
```

Summary:
ΔE_f   0.32 eV/f.u.
Excess energy over the best structure of this formula in the dataset   43 meV/atom
SG   P4/mmm (123)
DOS at the Fermi energy   4.4 states/eV/cell

# 7
A relaxed HfPa2Pb crystal. Source: the Alexandria database, functional PBE-GGA.

Structure (extended XYZ):
```
4
Lattice="-2.3505 0.7513 3.2681 1.7878 -3.0958 1.9974 4.3637 3.9578 2.2286" Properties=species:S:1:pos:R:3 pbc="T T T"
Hf 1.9005 0.8066 3.7471
Pa 3.3928 3.0772 1.7327
Pa 0.9709 0.8806 0.4959
Pb -0.2813 -1.1723 2.6328
```

Summary:
ΔE_f   0.98 eV/f.u.
Excess energy over the best structure of this formula in the dataset   222 meV/atom
SG   P4/mmm (123)
DOS at the Fermi energy   8.5 states/eV/cell

# 8
A relaxed Hf2PaPb crystal. Source: the Alexandria database, functional PBE-GGA.

Structure (extended XYZ):
```
8
Lattice="3.1939 -0.0006 -0.0015 -0.0009 5.9248 0.8885 -1.6012 -0.8456 10.1362" Properties=species:S:1:pos:R:3 pbc="T T T"
Hf -0.4824 3.3918 8.9984
Hf 1.1200 3.5657 3.7625
Hf 0.5153 0.4299 8.5530
Hf 2.1185 0.6038 3.3170
Pb 0.8192 4.9605 6.6023
Pb -0.7785 1.9985 6.1584
Pa 0.0209 5.3832 1.5345
Pa 0.0214 2.4209 1.0903
```

Summary:
ΔE_f   0.53 eV/f.u.
Excess energy over the best structure of this formula in the dataset   95 meV/atom
SG   C2/c (15)
DOS at the Fermi energy   9.9 states/eV/cell

# 9
A relaxed HfPa2Pb crystal. Source: the Alexandria database, functional PBE-GGA.

Structure (extended XYZ):
```
4
Lattice="-0.4465 5.1397 1.0968 -0.7464 1.5794 4.9766 3.8655 2.4906 2.5843" Properties=species:S:1:pos:R:3 pbc="T T T"
Pb 1.3363 4.6048 4.3289
Pa 2.0049 6.9072 6.4934
Pa 0.6676 2.3024 2.1644
Hf 0.0000 0.0000 0.0000
```

Summary:
ΔE_f   1.45 eV/f.u.
Excess energy over the best structure of this formula in the dataset   341 meV/atom
SG   Fm-3m (225)
DOS at the Fermi energy   7.4 states/eV/cell

# 10
A relaxed Hf2PaPb crystal. Source: the Alexandria database, functional PBE-GGA.

Structure (extended XYZ):
```
4
Lattice="3.3090 0.0000 0.0000 1.6545 2.8657 0.0000 1.6545 0.9552 10.3605" Properties=species:S:1:pos:R:3 pbc="T T T"
Pb 3.3090 1.9104 5.1803
Pa 0.0000 0.0000 0.0000
Hf 1.6545 0.9552 2.5964
Hf 4.9635 2.8657 7.7642
```

Summary:
ΔE_f   0.50 eV/f.u.
Excess energy over the best structure of this formula in the dataset   88 meV/atom
SG   R-3m (166)
DOS at the Fermi energy   6.4 states/eV/cell

# 11
A relaxed HfPaTiPb crystal. Source: the Alexandria database, functional PBE-GGA.

Structure (extended XYZ):
```
4
Lattice="-3.5165 0.3119 -3.5165 -4.6951 -1.2970 1.0498 -3.5382 3.4940 0.3178" Properties=species:S:1:pos:R:3 pbc="T T T"
Pa -2.9374 0.6272 -0.5372
Pb -8.8123 1.8817 -1.6116
Ti 0.0000 0.0000 0.0000
Hf -5.8749 1.2545 -1.0744
```

Summary:
ΔE_f   0.68 eV/f.u.
SG   F-43m (216)
DOS at the Fermi energy   6.1 states/eV/cell

# 12
A relaxed HfPaPd6 crystal. Source: the Alexandria database, functional PBE-GGA.

Structure (extended XYZ):
```
8
Lattice="4.1077 0.0000 0.0000 0.0000 4.1077 0.0000 0.0000 0.0000 8.1246" Properties=species:S:1:pos:R:3 pbc="T T T"
Pd 2.0539 2.0539 4.0623
Pd 0.0000 2.0539 6.0258
Pd 2.0539 0.0000 2.0987
Pd 0.0000 2.0539 2.0987
Pd 2.0539 2.0539 0.0000
Pd 2.0539 0.0000 6.0258
Pa 0.0000 0.0000 0.0000
Hf 0.0000 0.0000 4.0623
```

Summary:
ΔE_f   -5.98 eV/f.u.
SG   P4/mmm (123)
DOS at the Fermi energy   7.6 states/eV/cell

# 13
A relaxed HfPa2Pd9 crystal. Source: the Alexandria database, functional PBE-GGA.

Structure (extended XYZ):
```
12
Lattice="-1.5721 -3.0840 2.2587 -1.8230 -1.5418 -3.3740 9.9795 -6.7706 -2.2984" Properties=species:S:1:pos:R:3 pbc="T T T"
Pd 5.0009 -6.8575 -2.1004
Pd 4.2037 -4.9273 -0.0198
Pd 0.6744 -1.8469 -2.0522
Pd 7.6075 -7.2366 -0.8038
Pd -1.6976 -2.3129 -0.5576
Pd 1.5834 -4.5389 -1.3133
Pd 0.7999 -2.6180 0.7641
Pd 4.0782 -4.1562 -2.8362
Pd 7.4821 -6.4655 -3.6201
Pa 6.7035 -4.5480 -1.5439
Pa 3.2761 -2.2226 -0.7545
Hf 0.0000 0.0000 0.0000
```

Summary:
ΔE_f   -8.59 eV/f.u.
SG   P4/mmm (123)
DOS at the Fermi energy   14.0 states/eV/cell

# 14
A relaxed HfPa2Pd crystal. Source: the Alexandria database, functional PBE-GGA.

Structure (extended XYZ):
```
4
Lattice="3.7074 0.0000 0.0000 0.0000 3.7074 0.0000 0.0000 0.0000 6.7012" Properties=species:S:1:pos:R:3 pbc="T T T"
Hf 1.8537 1.8537 3.3506
Pa 0.0000 0.0000 1.4889
Pa 0.0000 0.0000 5.2123
Pd 1.8537 1.8537 0.0000
```

Summary:
ΔE_f   0.01 eV/f.u.
Excess energy over the best structure of this formula in the dataset   0 meV/atom
SG   P4/mmm (123)
DOS at the Fermi energy   8.5 states/eV/cell

# 15
A relaxed HfPa2Pd crystal. Source: the Alexandria database, functional PBE-GGA.

Structure (extended XYZ):
```
4
Lattice="-0.7831 -2.9242 -0.6652 1.2708 -2.3429 1.5820 -7.9564 -1.2389 7.5924" Properties=species:S:1:pos:R:3 pbc="T T T"
Pa -1.5226 -5.1391 2.7210
Pa -5.9462 -1.3669 5.7883
Hf -3.7344 -3.2530 4.2546
Pd 0.0000 0.0000 0.0000
```

Summary:
ΔE_f   0.29 eV/f.u.
Excess energy over the best structure of this formula in the dataset   70 meV/atom
SG   R-3m (166)
DOS at the Fermi energy   6.6 states/eV/cell

# 16
A relaxed HfPaPd crystal. Source: the Alexandria database, functional PBE-GGA.

Structure (extended XYZ):
```
3
Lattice="-1.7663 1.7441 1.8617 -2.1194 -4.0071 1.7432 3.9904 1.7617 2.1356" Properties=species:S:1:pos:R:3 pbc="T T T"
Pd -1.7153 1.6938 1.8079
Hf 1.4262 0.3597 2.5609
Pa -1.3724 -0.8108 3.2333
```

Summary:
ΔE_f   -0.22 eV/f.u.
Excess energy over the best structure of this formula in the dataset   292 meV/atom
SG   P3m1 (156)
DOS at the Fermi energy   5.0 states/eV/cell

# 17
A relaxed HfPaPd crystal. Source: the Alexandria database, functional PBE-GGA.

Structure (extended XYZ):
```
3
Lattice="-1.8840 -1.1224 -2.2985 2.5498 -0.5970 -1.7985 0.0708 -4.9159 4.5380" Properties=species:S:1:pos:R:3 pbc="T T T"
Pd 0.4790 -2.9495 -1.1477
Hf 0.2553 -3.6524 1.5743
Pa 0.0023 -0.0335 0.0144
```

Summary:
ΔE_f   -1.02 eV/f.u.
Excess energy over the best structure of this formula in the dataset   25 meV/atom
SG   I4mm (107)
DOS at the Fermi energy   3.6 states/eV/cell

# 18
A relaxed HfPaPd crystal. Source: the Alexandria database, functional PBE-GGA.

Structure (extended XYZ):
```
6
Lattice="3.3564 0.0000 0.0000 0.0000 3.3564 0.0000 0.0000 0.0000 11.0707" Properties=species:S:1:pos:R:3 pbc="T T T"
Hf 1.6782 0.0000 8.8354
Hf 0.0000 1.6782 2.2352
Pa 1.6782 0.0000 4.4097
Pa 0.0000 1.6782 6.6609
Pd 1.6782 0.0000 0.8350
Pd 0.0000 1.6782 10.2357
```

Summary:
ΔE_f   -1.10 eV/f.u.
Excess energy over the best structure of this formula in the dataset   0 meV/atom
SG   P4/nmm (129)
DOS at the Fermi energy   6.4 states/eV/cell

# 19
A relaxed HfPaPdW crystal. Source: the Alexandria database, functional PBE-GGA.

Structure (extended XYZ):
```
4
Lattice="-2.4909 -3.5577 2.0876 2.0613 -4.3000 0.6928 1.1309 -1.4396 4.4574" Properties=species:S:1:pos:R:3 pbc="T T T"
W 0.5260 -6.9730 5.4283
Hf 0.3506 -4.6487 3.6189
Pd 0.1753 -2.3243 1.8094
Pa 0.0000 0.0000 0.0000
```

Summary:
ΔE_f   -0.59 eV/f.u.
SG   F-43m (216)
DOS at the Fermi energy   3.1 states/eV/cell

# 20
A relaxed PmHfPa crystal. Source: the Alexandria database, functional PBE-GGA.

Structure (extended XYZ):
```
3
Lattice="-2.3564 -1.9353 1.0750 -0.9819 -0.4934 -3.0407 6.3552 -4.7907 0.4439" Properties=species:S:1:pos:R:3 pbc="T T T"
Pm -0.5632 -2.6316 -1.1100
Hf 2.7270 -3.4946 -0.3136
Pa 2.4641 -6.5110 -1.4582
```

Summary:
ΔE_f   0.64 eV/f.u.
SG   I4mm (107)
DOS at the Fermi energy   5.5 states/eV/cell

# 21
A relaxed Pr2HfPa crystal. Source: the Alexandria database, functional PBE-GGA.

Structure (extended XYZ):
```
4
Lattice="3.3206 0.0000 0.0000 1.6603 2.8757 0.0000 1.6603 0.9586 12.0176" Properties=species:S:1:pos:R:3 pbc="T T T"
Pa 0.0000 0.0000 0.0000
Pr 4.9809 2.8757 3.2380
Pr 1.6603 0.9586 8.7796
Hf 3.3206 1.9171 6.0088
```

Summary:
ΔE_f   1.50 eV/f.u.
SG   R-3m (166)
DOS at the Fermi energy   5.8 states/eV/cell

# 22
A relaxed Hf2PaPt crystal. Source: the Alexandria database, functional PBE-GGA.

Structure (extended XYZ):
```
4
Lattice="3.2087 0.0000 0.0000 1.6043 2.7788 0.0000 1.6043 0.9263 9.5791" Properties=species:S:1:pos:R:3 pbc="T T T"
Hf 1.6043 0.9263 7.4492
Hf 1.6043 0.9263 2.1255
Pt 4.8130 2.7788 9.5767
Pa 3.2087 1.8525 4.7962
```

Summary:
ΔE_f   -1.18 eV/f.u.
Excess energy over the best structure of this formula in the dataset   175 meV/atom
SG   R3m (160)
DOS at the Fermi energy   5.3 states/eV/cell

# 23
A relaxed Hf2PaPt crystal. Source: the Alexandria database, functional PBE-GGA.

Structure (extended XYZ):
```
4
Lattice="3.2685 0.0000 0.0000 1.6342 2.8306 0.0000 1.6342 0.9435 9.3855" Properties=species:S:1:pos:R:3 pbc="T T T"
Hf 4.9027 2.8306 7.3236
Hf 1.6342 0.9435 2.0620
Pt 0.0000 0.0000 0.0000
Pa 3.2685 1.8870 4.6928
```

Summary:
ΔE_f   -1.13 eV/f.u.
Excess energy over the best structure of this formula in the dataset   190 meV/atom
SG   R-3m (166)
DOS at the Fermi energy   5.7 states/eV/cell

# 24
A relaxed Hf3PaPt12 crystal. Source: the Alexandria database, functional PBE-GGA.

Structure (extended XYZ):
```
16
Lattice="-1.9982 -3.5107 -0.4813 3.2380 -1.5846 -1.8853 5.7677 -5.2453 14.3150" Properties=species:S:1:pos:R:3 pbc="T T T"
Pt 4.0034 -6.3047 12.1751
Pt 2.0940 -3.8882 2.4753
Pt 5.2096 -4.0576 7.9689
Pt -0.2339 -2.4513 1.6586
Pt 3.5037 -5.1703 5.9742
Pt 3.7961 -2.7722 4.4608
Pt 2.3842 -1.4882 0.9566
Pt 0.6199 -2.5476 -1.1833
Pt 6.6215 -5.3416 11.4731
Pt 4.9135 -6.4524 9.4732
Pt 2.5915 -5.0207 8.6709
Pt 1.1780 -3.7353 5.1628
Hf 2.8839 -2.6226 7.1575
Hf 1.4706 -1.3374 3.6500
Hf 4.2971 -3.9078 10.6650
Pa 0.0000 0.0000 0.0000
```

Summary:
ΔE_f   -16.69 eV/f.u.
SG   P4/mmm (123)
DOS at the Fermi energy   7.1 states/eV/cell

# 25
A relaxed HfPa2Pt crystal. Source: the Alexandria database, functional PBE-GGA.

Structure (extended XYZ):
```
4
Lattice="-1.7142 -1.2364 -2.2522 0.5325 -2.8956 -0.9335 -7.5264 -5.0977 6.4093" Properties=species:S:1:pos:R:3 pbc="T T T"
Pt 0.0000 0.0000 0.0000
Pa -5.7515 -4.1720 4.5501
Pa -2.9565 -5.0578 -1.3266
Hf -4.3540 -4.6149 1.6118
```

Summary:
ΔE_f   0.27 eV/f.u.
SG   R-3m (166)
DOS at the Fermi energy   6.6 states/eV/cell

# 26
A relaxed Hf2PaPt crystal. Source: the Alexandria database, functional PBE-GGA.

Structure (extended XYZ):
```
4
Lattice="3.3385 0.0000 0.0000 0.0000 3.3385 0.0000 0.0000 0.0000 7.6417" Properties=species:S:1:pos:R:3 pbc="T T T"
Hf 0.0000 0.0000 1.6414
Hf 0.0000 0.0000 6.0004
Pt 1.6692 1.6692 0.0000
Pa 1.6692 1.6692 3.8209
```

Summary:
ΔE_f   -1.88 eV/f.u.
Excess energy over the best structure of this formula in the dataset   0 meV/atom
SG   P4/mmm (123)
DOS at the Fermi energy   5.9 states/eV/cell

# 27
A relaxed HfPaTcPt crystal. Source: the Alexandria database, functional PBE-GGA.

Structure (extended XYZ):
```
4
Lattice="4.7971 0.0000 0.0000 2.3986 4.1544 0.0000 2.3986 1.3848 3.9168" Properties=species:S:1:pos:R:3 pbc="T T T"
Hf 0.0000 0.0000 0.0000
Pt 2.3986 1.3848 0.9792
Pa 4.7971 2.7696 1.9584
Tc 7.1957 4.1544 2.9376
```

Summary:
ΔE_f   -2.04 eV/f.u.
SG   F-43m (216)
DOS at the Fermi energy   6.1 states/eV/cell

# 28
A relaxed HfUPaPt crystal. Source: the Alexandria database, functional PBE-GGA.

Structure (extended XYZ):
```
4
Lattice="-0.1699 2.9963 -3.8623 -4.0463 0.2334 -2.7381 -2.8130 3.9993 0.1292" Properties=species:S:1:pos:R:3 pbc="T T T"
Hf -5.2719 5.4217 -4.8534
U 0.0000 0.0000 0.0000
Pa -1.7573 1.8072 -1.6178
Pt -3.5146 3.6144 -3.2356
```

Summary:
ΔE_f   -0.82 eV/f.u.
SG   F-43m (216)
DOS at the Fermi energy   10.9 states/eV/cell

The records above give, respectively, theoretical density values of 14.62 14.88 13.72 14.42 14.16 14.06 13.33 13.60 13.57 13.44 12.62 12.69 12.65 13.47 13.65 13.52 13.47 13.74 14.69 11.54 10.00 15.23 14.98 19.13 15.30 15.27 14.95 16.91 Mg/m³.